[1]
A relaxed structure of AcHoPd. Source: the Alexandria database, functional PBE-GGA.

Summary:
Polymorph energy (0 for the lowest one)   78 meV/atom
Energy of formation from the pure elements   -488 meV per atom

a b c (Å): 3.7001 3.7001 12.8531
angles (deg): 90.00 90.00 90.00
With the nearest neighbours (Å) after each atom.
Space group I4mm (No. 107)
One atom of each set of equivalent atoms:
1 Ac 0.0000 0.0000 0.0000 (multiplicity 2)  4 Pd 3.36, 1 Ho 3.49, 4 Ac 3.70
2 Ho 0.0000 0.0000 0.2715 (multiplicity 2)  4 Pd 2.96
3 Pd 0.0000 0.0000 0.6644 (multiplicity 2)  4 Ho 2.96



[2]
A relaxed structure of ZnRe2Ag. Source: the Alexandria database, functional PBE-GGA.

Summary:
Energy of formation from the pure elements   501 meV per atom

a b c (Å): 3.1103 4.2693 4.6577
angles (deg): 90.00 90.00 90.00
With the nearest neighbours (Å) after each atom.
Space group Pmmm (No. 47)
One atom of each set of equivalent atoms:
1 Zn 0.0000 0.0000 0.0000 (multiplicity 1)  4 Ag 2.64, 4 Re 2.80
2 Re 0.0000 0.5000 0.5000 (multiplicity 1)  4 Re 2.64, 4 Ag 2.80
3 Re 0.5000 0.0000 0.5000 (multiplicity 1)  4 Re 2.64, 4 Zn 2.80
4 Ag 0.5000 0.5000 0.0000 (multiplicity 1)  4 Zn 2.64, 4 Re 2.80



[3]
A relaxed structure of Li6VPd12. Source: the Alexandria database, functional PBE-GGA.

Summary:
Polymorph energy (0 for the lowest one)   0 meV/atom
Energy of formation from the pure elements   -319 meV per atom

a b c (Å): 11.9483 11.9483 6.7116
angles (deg): 90.00 90.00 120.00
With the nearest neighbours (Å) after each atom.
Space group R-3 (No. 148, hexagonal axes)
One atom of each set of equivalent atoms:
1 Li 0.0341 0.2746 0.3271 (multiplicity 18)  9 Pd 2.65-2.80, 3 Li 2.75-2.80
2 V 0.0000 0.0000 0.0000 (multiplicity 3)  12 Pd 2.73-2.76
3 Pd 0.0193 0.1420 0.6693 (multiplicity 18)  4 Li 2.66-2.80, 7 Pd 2.71-2.78, 1 V 2.73
4 Pd 0.0693 0.5664 0.6666 (multiplicity 18)  5 Li 2.65-2.79, 6 Pd 2.71-2.76, 1 V 2.76



[4]
A relaxed structure of TlCdPt2. Source: the Alexandria database, functional PBE-GGA.

Summary:
Energy of formation from the pure elements   48 meV per atom

a b c (Å): 6.6743 6.6743 6.6743
angles (deg): 90.00 90.00 90.00
With the nearest neighbours (Å) after each atom.
Space group F-43m (No. 216)
One atom of each set of equivalent atoms:
1 Tl 0.0000 0.0000 0.0000 (multiplicity 4)  4 Pt 2.89, 4 Cd 2.89
2 Cd 0.2500 0.2500 0.2500 (multiplicity 4)  4 Tl 2.89, 4 Pt 2.89
3 Pt 0.0000 0.0000 0.5000 (multiplicity 4)  4 Cd 2.89, 4 Pt 2.89
4 Pt 0.2500 0.2500 0.7500 (multiplicity 4)  4 Tl 2.89, 4 Pt 2.89



[5]
A relaxed structure of Co2As. Source: the Alexandria database, functional PBE-GGA.

Summary:
Energy of formation from the pure elements   -4 meV per atom

a b c (Å): 3.5636 11.2892 3.6383
angles (deg): 90.00 90.00 90.00
With the nearest neighbours (Å) after each atom.
Space group Cmcm (No. 63)
One atom of each set of equivalent atoms:
1 Co 0.0000 0.0744 0.2500 (multiplicity 4)  6 Co 2.48-2.72, 6 As 2.58-2.77
2 Co 0.0000 0.2538 0.7500 (multiplicity 4)  4 As 2.36-2.39, 6 Co 2.55-2.63
3 As 0.0000 0.3867 0.2500 (multiplicity 4)  8 Co 2.36-2.58



[6]
A relaxed structure of Pm4Sb2F. Source: the Alexandria database, functional PBE-GGA.

Summary:
E_form (uncorrected)   -1.30 eV per atom

a b c (Å): 4.6888 4.6888 17.4258
angles (deg): 90.00 90.00 90.00
With the nearest neighbours (Å) after each atom.
Space group I4/mmm (No. 139)
One atom of each set of equivalent atoms:
1 Pm 0.0000 0.0000 0.1817 (multiplicity 4)  1 F 3.17, 5 Sb 3.19-3.41
2 Pm 0.0000 0.5000 0.0000 (multiplicity 4)  2 F 2.34
3 Sb 0.0000 0.0000 0.3651 (multiplicity 4)  9 Pm 3.19-3.41
4 F 0.0000 0.0000 0.0000 (multiplicity 2)  4 Pm 2.34



[7]
A relaxed structure of Sm6Y3Ho2In. Source: the Alexandria database, functional PBE-GGA.

Summary:
Energy of formation from the pure elements   -36 meV per atom

a b c (Å): 6.1716 10.7108 11.7363
angles (deg): 90.00 100.19 90.00
With the nearest neighbours (Å) after each atom.
Space group C2/m (No. 12)
One atom of each set of equivalent atoms:
1 Sm 0.2461 0.0000 0.2527 (multiplicity 4)  1 In 3.51, 6 Sm 3.51-3.60, 2 Ho 3.53, 3 Y 3.57-3.59
2 Sm 0.2456 0.1641 0.7459 (multiplicity 8)  1 In 3.49, 6 Sm 3.51-3.60, 2 Ho 3.52, 3 Y 3.58-3.60
3 Y 0.0000 0.1672 0.0000 (multiplicity 4)  6 Y 3.56-3.58, 6 Sm 3.57-3.60
4 Y 0.0000 0.5000 0.0000 (multiplicity 2)  6 Y 3.56-3.57, 6 Sm 3.58-3.59
5 Ho 0.0000 0.3338 0.5000 (multiplicity 4)  6 Sm 3.52-3.53, 3 Ho 3.56-3.57, 3 In 3.56-3.58
6 In 0.0000 0.0000 0.5000 (multiplicity 2)  6 Sm 3.49-3.51, 6 Ho 3.56-3.58



[8]
A relaxed structure of Pr2Sm3Dy. Source: the Alexandria database, functional PBE-GGA.

Summary:
Polymorph energy (0 for the lowest one)   75 meV/atom
Energy of formation from the pure elements   248 meV per atom

a b c (Å): 6.8049 17.8780 3.4322
angles (deg): 90.00 90.00 90.00
With the nearest neighbours (Å) after each atom.
Space group Pnnm (No. 58)
One atom of each set of equivalent atoms:
1 Pr 0.2372 0.1516 0.0000 (multiplicity 4)  1 Dy 3.25, 6 Sm 3.39-3.59, 2 Pr 3.43
2 Sm 0.0000 0.0000 0.5000 (multiplicity 2)  2 Sm 3.43, 4 Pr 3.59, 4 Dy 3.81
3 Sm 0.2435 0.3231 0.5000 (multiplicity 4)  4 Pr 3.39-3.51, 2 Sm 3.43, 1 Dy 3.57
4 Dy 0.0000 0.5000 0.5000 (multiplicity 2)  2 Pr 3.25, 2 Dy 3.43, 2 Sm 3.57



[9]
A relaxed structure of Dy2CuTe. Source: the Alexandria database, functional PBE-GGA.

Summary:
E_form (uncorrected)   -0.69 eV per atom
Polymorph energy (0 for the lowest one)   71 meV/atom

a b c (Å): 4.1782 4.1782 21.2794
angles (deg): 90.00 90.00 120.00
With the nearest neighbours (Å) after each atom.
Space group R3m (No. 160, hexagonal axes)
One atom of each set of equivalent atoms:
1 Dy 0.0000 0.0000 0.0000 (multiplicity 3)  3 Cu 2.83, 3 Te 3.17
2 Dy 0.0000 0.0000 0.1916 (multiplicity 3)  3 Cu 2.86, 3 Te 3.15
3 Cu 0.0000 0.0000 0.5969 (multiplicity 3)  6 Dy 2.83-2.86
4 Te 0.0000 0.0000 0.7633 (multiplicity 3)  6 Dy 3.15-3.17



[10]
A relaxed structure of PaZn4Ru. Source: the Alexandria database, functional PBE-GGA.

Summary:
Polymorph energy (0 for the lowest one)   0 meV/atom
Energy of formation from the pure elements   -98 meV per atom

a b c (Å): 7.3268 7.3268 7.3268
angles (deg): 90.00 90.00 90.00
With the nearest neighbours (Å) after each atom.
Space group F-43m (No. 216)
One atom of each set of equivalent atoms:
1 Pa 0.0000 0.0000 0.0000 (multiplicity 4)  12 Zn 3.04, 4 Ru 3.17
2 Zn 0.1235 0.1235 0.6235 (multiplicity 16)  6 Zn 2.56-2.62
3 Ru 0.2500 0.2500 0.2500 (multiplicity 4)  12 Zn 3.03, 4 Pa 3.17



[11]
A relaxed structure of ReTcP2F. Source: the Alexandria database, functional PBE-GGA.

Summary:
E_form (uncorrected)   0.61 eV per atom

a b c (Å): 4.6486 4.6486 3.8786
angles (deg): 90.00 90.00 90.00
With the nearest neighbours (Å) after each atom.
Space group P4/mmm (No. 123)
One atom of each set of equivalent atoms:
1 Re 0.0000 0.0000 0.0000 (multiplicity 1)  8 P 3.03, 4 F 3.29
2 Tc 0.5000 0.5000 0.5000 (multiplicity 1)  2 F 1.94
3 P 0.0000 0.5000 0.5000 (multiplicity 2)  2 Tc 2.32
4 F 0.5000 0.5000 0.0000 (multiplicity 1)  2 Tc 1.94



[12]
A relaxed structure of Li4TmZn12. Source: the Alexandria database, functional PBE-GGA.

Summary:
Energy of formation from the pure elements   188 meV per atom

a b c (Å): 8.5781 8.5781 8.5781
angles (deg): 90.00 90.00 90.00
With the nearest neighbours (Å) after each atom.
Space group Im-3 (No. 204)
One atom of each set of equivalent atoms:
1 Li 0.2500 0.2500 0.2500 (multiplicity 8)  6 Zn 2.47
2 Tm 0.0000 0.0000 0.0000 (multiplicity 2)  12 Zn 3.29
3 Zn 0.0000 0.3527 0.1491 (multiplicity 24)  2 Li 2.47, 2 Zn 2.53-2.56